Density functional theory data (PBE) for an optimized crystal structure of LiLa2Mg3.

a b c (Å): 6.257 6.257 9.794
angles (deg): 90.00 90.00 120.00
Sites, in units of the cell vectors:
Li: 0.000 0.000 0.000
Li: 0.000 0.000 0.500
La: 0.333 0.667 0.078
La: 0.333 0.667 0.422
La: 0.667 0.333 0.578
La: 0.667 0.333 0.922
Mg: 0.168 0.336 0.750
Mg: 0.168 0.832 0.750
Mg: 0.336 0.168 0.250
Mg: 0.664 0.832 0.750
Mg: 0.832 0.168 0.250
Mg: 0.832 0.664 0.250

D(E_F) = 13.537 states/eV per cell
Formation energy = -7 kJ per mole of atoms
Raw total energy = -2.83 eV/atom

Density functional theory data (PBE) for an optimized crystal structure of Sm3Dy2Mg2.

a b c (Å): 15.650 15.650 3.671
angles (deg): 90.00 90.00 166.14
Sites, in units of the cell vectors:
Sm: 0.000 0.000 0.000
Sm: 0.419 0.581 0.500
Sm: 0.581 0.419 0.500
Dy: 0.295 0.705 0.500
Dy: 0.705 0.295 0.500
Mg: 0.144 0.856 0.000
Mg: 0.856 0.144 0.000

D(E_F) = 7.435 states/eV per cell
Formation energy = 5 kJ per mole of atoms
Raw total energy = -3.74 eV/atom

Density functional theory data (PBE) for an optimized crystal structure of MgCu2P2O8.

a b c (Å): 4.905 5.384 6.376
angles (deg): 72.30 87.43 68.63
Sites, in units of the cell vectors:
Mg: 0.000 0.000 0.000
Cu: 0.439 0.527 0.377
Cu: 0.711 0.745 0.693
P: 0.074 0.085 0.474
P: 0.357 0.395 0.919
O: 0.051 0.387 0.868
O: 0.104 0.890 0.329
O: 0.322 0.599 0.057
O: 0.377 0.092 0.528
O: 0.482 0.520 0.694
O: 0.568 0.099 0.035
O: 0.862 0.381 0.350
O: 0.948 0.963 0.695

D(E_F) = 0.485 states/eV per cell
Raw total energy = -6.46 eV/atom

Density functional theory data (PBE) for an optimized crystal structure of LaZn2Cu.

a b c (Å): 4.289 4.289 5.740
angles (deg): 111.58 111.58 59.78
Sites, in units of the cell vectors:
La: 0.000 0.000 0.000
Zn: 0.204 0.204 0.610
Zn: 0.796 0.796 0.390
Cu: 0.500 0.500 0.500

D(E_F) = 3.702 states/eV per cell
Formation energy = -22 kJ per mole of atoms
Raw total energy = -3.13 eV/atom

Density functional theory data (PBE) for an optimized crystal structure of LiMnPdRh.

a b c (Å): 3.033 3.033 5.954
angles (deg): 90.00 90.00 90.00
Sites, in units of the cell vectors:
Li: 0.000 0.000 0.000
Mn: 0.000 0.000 0.487
Pd: 0.500 0.500 0.757
Rh: 0.500 0.500 0.252

D(E_F) = 3.765 states/eV per cell
Formation energy = -23 kJ per mole of atoms
Raw total energy = -6.14 eV/atom

Density functional theory data (PBE) for an optimized crystal structure of AsAuSCl2.

a b c (Å): 4.863 4.863 5.008
angles (deg): 90.00 90.00 90.00
Sites, in units of the cell vectors:
As: 0.000 0.000 0.000
Au: 0.500 0.500 0.500
S: 0.000 0.000 0.500
Cl: 0.000 0.500 0.000
Cl: 0.500 0.000 0.000

D(E_F) = 0.858 states/eV per cell
Raw total energy = -2.85 eV/atom

Density functional theory data (PBE) for an optimized crystal structure of CaCd2Ir.

a b c (Å): 5.203 5.203 3.258
angles (deg): 90.00 90.00 111.70
Sites, in units of the cell vectors:
Ca: 0.000 0.000 0.000
Cd: 0.000 0.500 0.500
Cd: 0.500 0.000 0.500
Ir: 0.500 0.500 0.000

D(E_F) = 2.275 states/eV per cell
Formation energy = 11 kJ per mole of atoms
Raw total energy = -3.06 eV/atom

Density functional theory data (PBE) for an optimized crystal structure of Re2AsPt.

a b c (Å): 4.850 4.850 4.663
angles (deg): 93.61 93.61 34.68
Sites, in units of the cell vectors:
Re: 0.000 0.000 0.000
Re: 0.728 0.728 0.208
As: 0.242 0.242 0.756
Pt: 0.464 0.464 0.481

D(E_F) = 3.099 states/eV per cell
Formation energy = 23 kJ per mole of atoms
Raw total energy = -8.66 eV/atom

Density functional theory data (PBE) for an optimized crystal structure of SrCa3Rh.

a b c (Å): 6.969 7.659 7.661
angles (deg): 63.64 89.44 89.43
Sites, in units of the cell vectors:
Sr: 0.000 0.000 0.000
Sr: 0.349 0.258 0.256
Ca: 0.331 0.750 0.748
Ca: 0.515 0.256 0.752
Ca: 0.515 0.752 0.255
Ca: 0.840 0.002 0.506
Ca: 0.840 0.507 0.001
Ca: 0.992 0.508 0.508
Rh: 0.660 0.869 0.869
Rh: 0.672 0.635 0.635

D(E_F) = 7.360 states/eV per cell
Formation energy = -21 kJ per mole of atoms
Raw total energy = -3.22 eV/atom

Density functional theory data (PBE) for an optimized crystal structure of Tb3AsC.

a b c (Å): 8.059 8.059 7.898
angles (deg): 98.25 98.25 28.95
Sites, in units of the cell vectors:
Tb: 0.047 0.047 0.326
Tb: 0.155 0.155 0.951
Tb: 0.318 0.318 0.379
Tb: 0.682 0.682 0.621
Tb: 0.845 0.845 0.049
Tb: 0.953 0.953 0.674
As: 0.325 0.325 0.768
As: 0.675 0.675 0.232
C: 0.099 0.099 0.631
C: 0.901 0.901 0.369

D(E_F) = 7.009 states/eV per cell
Formation energy = -53 kJ per mole of atoms
Raw total energy = -6.11 eV/atom

Density functional theory data (PBE) for an optimized crystal structure of Y2ErTc.

a b c (Å): 7.410 9.197 6.266
angles (deg): 90.00 90.00 90.00
Sites, in units of the cell vectors:
Y: 0.177 0.064 0.160
Y: 0.177 0.436 0.160
Y: 0.323 0.564 0.660
Y: 0.323 0.936 0.660
Y: 0.677 0.064 0.340
Y: 0.677 0.436 0.340
Y: 0.823 0.564 0.840
Y: 0.823 0.936 0.840
Er: 0.044 0.250 0.631
Er: 0.456 0.750 0.131
Er: 0.544 0.250 0.869
Er: 0.956 0.750 0.369
Tc: 0.115 0.750 0.965
Tc: 0.385 0.250 0.465
Tc: 0.615 0.750 0.535
Tc: 0.885 0.250 0.035

D(E_F) = 13.868 states/eV per cell
Formation energy = -10 kJ per mole of atoms
Raw total energy = -7.06 eV/atom

Density functional theory data (PBE) for an optimized crystal structure of Li2YSnF.

a b c (Å): 5.841 5.841 4.144
angles (deg): 90.00 90.00 90.00
Sites, in units of the cell vectors:
Li: 0.000 0.500 0.000
Li: 0.500 0.000 0.000
Y: 0.000 0.000 0.000
Sn: 0.500 0.500 0.500
F: 0.000 0.000 0.500

D(E_F) = 3.156 states/eV per cell
Raw total energy = -3.79 eV/atom